No. 1
Density functional theory data (PBE) for a relaxed TmOs crystal.

a b c (Å): 4.380 4.380 4.380
angles (deg): 60.00 60.00 60.00
Fractional positions:
1 Tm 0.000 0.000 0.000
2 Os 0.250 0.250 0.250

Summary:
**Formation enthalpy at 0 K**: 1664.2 meV/atom
**Calculated volume**: 59 Å³/cell
**Uncorrected energy**: -12.37 eV/cell
**SG**: F-43m

=====

No. 2
Density functional theory data (PBE) for a relaxed PrSmPt4 crystal.

a b c (Å): 5.500 5.500 5.500
angles (deg): 60.00 60.00 60.00
Fractional positions:
1 Pr 0.000 0.000 0.000
2 Sm 0.250 0.250 0.250
3 Pt 0.126 0.625 0.625
4 Pt 0.625 0.126 0.625
5 Pt 0.625 0.625 0.126
6 Pt 0.625 0.625 0.625

Summary:
**Formation enthalpy at 0 K**: -1049.4 meV/atom
**Calculated volume**: 118 Å³/cell
**Uncorrected energy**: -40.01 eV/cell
**SG**: F-43m

=====

No. 3
Density functional theory data (PBE) for a relaxed Zr3PtC crystal.

a b c (Å): 6.111 6.111 9.026
angles (deg): 90.00 90.00 147.99
Fractional positions:
1 Zr 0.057 0.943 0.750
2 Zr 0.372 0.628 0.558
3 Zr 0.372 0.628 0.942
4 Zr 0.628 0.372 0.058
5 Zr 0.628 0.372 0.442
6 Zr 0.943 0.057 0.250
7 Pt 0.252 0.748 0.250
8 Pt 0.748 0.252 0.750
9 C 0.000 0.000 0.000
10 C 0.000 0.000 0.500

Summary:
**Relative energy among the computed polymorphs**: 0 meV per atom
**Calculated volume**: 179 Å³/cell
**Uncorrected energy**: -90.13 eV/cell
**SG**: Cmcm

=====

No. 4
Density functional theory data (PBE) for a relaxed LaNdHg2Au4 crystal.

a b c (Å): 5.063 5.063 7.172
angles (deg): 90.00 90.00 90.00
Fractional positions:
1 La 0.000 0.000 0.000
2 Nd 0.500 0.500 0.500
3 Hg 0.000 0.000 0.500
4 Hg 0.500 0.500 0.000
5 Au 0.000 0.500 0.253
6 Au 0.000 0.500 0.747
7 Au 0.500 0.000 0.253
8 Au 0.500 0.000 0.747

Summary:
**Formation enthalpy at 0 K**: -605.1 meV/atom
**Calculated volume**: 184 Å³/cell
**Uncorrected energy**: -28.19 eV/cell
**SG**: P4/mmm

=====

No. 5
Density functional theory data (PBE) for a relaxed SrLiPd crystal.

a b c (Å): 4.307 4.307 7.637
angles (deg): 90.00 90.00 90.00
Fractional positions:
1 Sr 0.250 0.250 0.166
2 Sr 0.750 0.750 0.834
3 Li 0.250 0.750 0.500
4 Li 0.750 0.250 0.500
5 Pd 0.250 0.250 0.723
6 Pd 0.750 0.750 0.277

Summary:
**Relative energy among the computed polymorphs**: 0 meV per atom
**Calculated volume**: 142 Å³/cell
**Uncorrected energy**: -20.28 eV/cell
**SG**: P4/nmm

=====

No. 6
Density functional theory data (PBE) for a relaxed Y4Ni3Mo2N3 crystal.

a b c (Å): 5.788 5.788 13.357
angles (deg): 103.08 103.08 60.11
Fractional positions:
1 Y 0.043 0.201 0.113
2 Y 0.122 0.294 0.386
3 Y 0.201 0.043 0.613
4 Y 0.294 0.122 0.886
5 Y 0.706 0.878 0.114
6 Y 0.799 0.957 0.387
7 Y 0.878 0.706 0.614
8 Y 0.957 0.799 0.887
9 Ni 0.183 0.583 0.252
10 Ni 0.351 0.649 0.750
11 Ni 0.417 0.817 0.248
12 Ni 0.583 0.183 0.752
13 Ni 0.649 0.351 0.250
14 Ni 0.817 0.417 0.748
15 Mo 0.350 0.525 0.071
16 Mo 0.475 0.650 0.429
17 Mo 0.525 0.350 0.571
18 Mo 0.650 0.475 0.929
19 N 0.000 0.500 0.000
20 N 0.178 0.660 0.500
21 N 0.340 0.822 0.000
22 N 0.500 0.000 0.500
23 N 0.660 0.178 0.000
24 N 0.822 0.340 0.500

Summary:
**Calculated volume**: 375 Å³/cell
**Uncorrected energy**: -192.86 eV/cell
**SG**: C2/c

=====

Which formula does entry 1 have? TmOs

=====

What is the uncorrected energy in the fifth record? -20.28 eV/cell

=====

What is the formula in the first record? TmOs